1.
## HgMoRu (PBE)

Data for a relaxed HgMoRu crystal.

Structure (POSCAR):
```
HgMoRu
1.0
0.000 2.356 7.205
1.518 0.000 7.205
1.518 2.356 0.000
Hg Mo Ru
1 1 1
Cartesian
0.000 0.000 0.000 Hg
1.518 2.356 9.805 Mo
1.518 2.356 4.666 Ru
```

Computed properties:
- formation energy (eV per atom) = 0.51
- magnetization (μB/cell) = 0.34
- offset from the most stable computed form (meV/atom) = 224
- V (Å³ per cell) = 52

---

2.
## HgMoRu2 (PBE)

Data for a relaxed HgMoRu2 crystal.

Structure (POSCAR):
```
HgMoRu2
1.0
-3.566 3.566 2.824
3.566 -3.566 2.824
3.566 3.566 -2.824
Hg Mo Ru
2 2 4
Cartesian
0.000 0.000 0.000 Hg
0.000 3.566 1.412 Hg
3.566 0.000 1.412 Mo
0.000 0.000 2.824 Mo
1.783 -1.453 2.118 Ru
2.113 1.783 0.706 Ru
1.783 5.018 -0.706 Ru
1.453 1.783 3.530 Ru
```

Computed properties:
- formation energy (eV per atom) = 0.69
- magnetization (μB/cell) = 0.00
- V (Å³ per cell) = 144

---

3.
## HgMoRu2 (PBE)

Data for a relaxed HgMoRu2 crystal.

Structure (POSCAR):
```
HgMoRu2
1.0
4.808 0.000 0.000
0.000 2.860 0.000
-1.873 0.000 4.612
Hg Mo Ru
1 1 2
Cartesian
0.000 0.000 0.000 Hg
-0.936 1.430 2.306 Mo
1.468 0.000 2.306 Ru
2.404 1.430 0.000 Ru
```

Computed properties:
- formation energy (eV per atom) = 0.51
- magnetization (μB/cell) = 0.00
- V (Å³ per cell) = 63

---

What is the formula in the second record? HgMoRu2

---

Copy entry 3 word for word.
## HgMoRu2 (PBE)

Data for a relaxed HgMoRu2 crystal.

Structure (POSCAR):
```
HgMoRu2
1.0
4.808 0.000 0.000
0.000 2.860 0.000
-1.873 0.000 4.612
Hg Mo Ru
1 1 2
Cartesian
0.000 0.000 0.000 Hg
-0.936 1.430 2.306 Mo
1.468 0.000 2.306 Ru
2.404 1.430 0.000 Ru
```

Computed properties:
- formation energy (eV per atom) = 0.51
- magnetization (μB/cell) = 0.00
- V (Å³ per cell) = 63